No. 1
# GGA-PBE Sm4Ta, relaxed
# - crystal system = cubic
# - energy of formation from the pure elements (eV per atom) = 0.581
# - E_tot (eV/atom) = -5.5653
data_Sm4Ta
_chemical_formula_sum 'Sm4 Ta1'
_space_group_name_H-M_alt 'P 1'
_space_group_IT_number 1
_cell_length_a 5.633
_cell_length_b 5.633
_cell_length_c 5.633
_cell_angle_alpha 90.00
_cell_angle_beta 90.00
_cell_angle_gamma 90.00
loop_
_space_group_symop_operation_xyz
'x,y,z'
loop_
_atom_site_label
_atom_site_type_symbol
_atom_site_fract_x
_atom_site_fract_y
_atom_site_fract_z
_atom_site_occupancy
Sm1 Sm 0.000 0.000 0.000 1
Sm2 Sm 0.500 0.000 0.500 1
Sm3 Sm 0.000 0.500 0.500 1
Sm4 Sm 0.500 0.500 0.000 1
Ta1 Ta 0.500 0.500 0.500 1

***

No. 2
# GGA-PBE GaIrPb3, relaxed
# - crystal system = cubic
# - energy of formation from the pure elements (eV per atom) = 0.360
# - ΔE to the lowest computed polymorph (meV per atom) = 0.0
# - E_tot (eV/atom) = -4.2424
data_GaIrPb3
_chemical_formula_sum 'Ga1 Ir1 Pb3'
_space_group_name_H-M_alt 'P 1'
_space_group_IT_number 1
_cell_length_a 5.343
_cell_length_b 5.343
_cell_length_c 5.343
_cell_angle_alpha 90.00
_cell_angle_beta 90.00
_cell_angle_gamma 90.00
loop_
_space_group_symop_operation_xyz
'x,y,z'
loop_
_atom_site_label
_atom_site_type_symbol
_atom_site_fract_x
_atom_site_fract_y
_atom_site_fract_z
_atom_site_occupancy
Pb1 Pb 0.000 0.500 0.000 1
Pb2 Pb 0.000 0.000 0.500 1
Pb3 Pb 0.500 0.000 0.000 1
Ir1 Ir 0.000 0.000 0.000 1
Ga1 Ga 0.500 0.500 0.500 1

***

No. 3
# GGA-PBE KCdTe4, relaxed
# - crystal system = cubic
# - formation energy without anion corrections (kJ/mol of atoms) = -9
# - E_tot (eV/atom) = -2.5213
data_KCdTe4
_chemical_formula_sum 'K1 Cd1 Te4'
_space_group_name_H-M_alt 'P 1'
_space_group_IT_number 1
_cell_length_a 6.562
_cell_length_b 6.562
_cell_length_c 6.562
_cell_angle_alpha 60.00
_cell_angle_beta 60.00
_cell_angle_gamma 60.00
loop_
_space_group_symop_operation_xyz
'x,y,z'
loop_
_atom_site_label
_atom_site_type_symbol
_atom_site_fract_x
_atom_site_fract_y
_atom_site_fract_z
_atom_site_occupancy
K1 K 0.000 0.000 0.000 1
Cd1 Cd 0.750 0.750 0.750 1
Te1 Te 0.870 0.377 0.377 1
Te2 Te 0.377 0.377 0.870 1
Te3 Te 0.377 0.870 0.377 1
Te4 Te 0.377 0.377 0.377 1

***

No. 4
# GGA-PBE Hg4OsAu, relaxed
# - crystal system = cubic
# - energy of formation from the pure elements (eV per atom) = 1.050
# - E_tot (eV/atom) = -1.5690
data_Hg4OsAu
_chemical_formula_sum 'Hg4 Os1 Au1'
_space_group_name_H-M_alt 'P 1'
_space_group_IT_number 1
_cell_length_a 5.644
_cell_length_b 5.644
_cell_length_c 5.644
_cell_angle_alpha 60.00
_cell_angle_beta 60.00
_cell_angle_gamma 60.00
loop_
_space_group_symop_operation_xyz
'x,y,z'
loop_
_atom_site_label
_atom_site_type_symbol
_atom_site_fract_x
_atom_site_fract_y
_atom_site_fract_z
_atom_site_occupancy
Hg1 Hg 0.874 0.375 0.375 1
Hg2 Hg 0.375 0.375 0.874 1
Hg3 Hg 0.375 0.874 0.375 1
Hg4 Hg 0.375 0.375 0.375 1
Os1 Os 0.750 0.750 0.750 1
Au1 Au 0.000 0.000 0.000 1

***

No. 5
# GGA-PBE Ba2Tl5Pb, relaxed
# - crystal system = tetragonal
# - energy of formation from the pure elements (eV per atom) = -0.277
# - E_tot (eV/atom) = -2.7001
data_Ba2Tl5Pb
_chemical_formula_sum 'Ba2 Tl5 Pb1'
_space_group_name_H-M_alt 'P 1'
_space_group_IT_number 1
_cell_length_a 7.259
_cell_length_b 7.259
_cell_length_c 7.259
_cell_angle_alpha 92.78
_cell_angle_beta 118.41
_cell_angle_gamma 118.41
loop_
_space_group_symop_operation_xyz
'x,y,z'
loop_
_atom_site_label
_atom_site_type_symbol
_atom_site_fract_x
_atom_site_fract_y
_atom_site_fract_z
_atom_site_occupancy
Ba1 Ba 0.500 0.287 0.787 1
Ba2 Ba 0.500 0.787 0.287 1
Tl1 Tl 0.433 0.750 0.750 1
Tl2 Tl 0.000 0.750 0.318 1
Tl3 Tl 0.000 0.318 0.750 1
Tl4 Tl 0.567 0.318 0.318 1
Tl5 Tl 0.000 0.198 0.198 1
Pb1 Pb 0.000 0.815 0.815 1

***

No. 6
# GGA-PBE Sn2PbSe2S, relaxed
# - crystal system = orthorhombic
# - formation energy without anion corrections (kJ/mol of atoms) = -45
# - E_tot (eV/atom) = -4.2662
data_Sn2PbSe2S
_chemical_formula_sum 'Sn4 Pb2 Se4 S2'
_space_group_name_H-M_alt 'P 1'
_space_group_IT_number 1
_cell_length_a 6.048
_cell_length_b 6.034
_cell_length_c 9.556
_cell_angle_alpha 108.40
_cell_angle_beta 90.00
_cell_angle_gamma 90.00
loop_
_space_group_symop_operation_xyz
'x,y,z'
loop_
_atom_site_label
_atom_site_type_symbol
_atom_site_fract_x
_atom_site_fract_y
_atom_site_fract_z
_atom_site_occupancy
Sn1 Sn 0.751 0.914 0.327 1
Sn2 Sn 0.751 0.587 0.673 1
Sn3 Sn 0.251 0.413 0.327 1
Sn4 Sn 0.251 0.086 0.673 1
Pb1 Pb 0.256 0.750 0.000 1
Pb2 Pb 0.756 0.250 0.000 1
Se1 Se 0.236 0.919 0.339 1
Se2 Se 0.236 0.580 0.661 1
Se3 Se 0.736 0.081 0.661 1
Se4 Se 0.736 0.420 0.339 1
S1 S 0.743 0.750 0.000 1
S2 S 0.243 0.250 0.000 1